No. 1
This record from the Alexandria database describes an optimized crystal structure of VAsPd. The functional is PBE.

Results
The calculation puts the formation energy at -51 kJ/mol of formula units. The value obtained for the final energy is -6.4951 eV per atom.

Cell lengths 2.930, 4.266, 4.266 Å; angles 120.00, 90.00, 90.00 degrees
Atoms (fractional coordinates):
V1 0.953 0.000 0.000
As1 0.596 0.333 0.667
Pd1 0.452 0.667 0.333

=====

No. 2
This record from the Alexandria database describes an optimized crystal structure of Ac12Pd3Ru5. The functional is PBE.

Results
The calculation puts the formation energy at -269 kJ/mol of formula units. The value obtained for the final energy is -5.7025 eV per atom.

Cell lengths 15.326, 15.326, 15.326 Å; angles 109.47, 109.47, 109.47 degrees
Atoms (fractional coordinates):
Ru1 0.125 0.375 0.250
Ru2 0.750 0.625 0.375
Ru3 0.750 0.125 0.875
Ru4 0.500 0.500 0.000
Ru5 0.375 0.125 0.750
Ru6 0.625 0.750 0.875
Ru7 0.875 0.250 0.625
Ru8 0.875 0.625 0.750
Ru9 0.250 0.875 0.125
Ru10 0.500 0.000 0.500
Ru11 0.500 0.000 0.000
Ru12 0.500 0.500 0.500
Ru13 0.125 0.750 0.375
Ru14 0.000 0.500 0.500
Ru15 0.000 0.000 0.000
Ru16 0.625 0.875 0.250
Ru17 0.375 0.250 0.125
Ru18 0.000 0.000 0.500
Ru19 0.250 0.375 0.625
Ru20 0.000 0.500 0.000
Pd1 0.250 0.125 0.375
Pd2 0.625 0.250 0.375
Pd3 0.375 0.625 0.250
Pd4 0.750 0.875 0.625
Pd5 0.375 0.750 0.625
Pd6 0.125 0.875 0.750
Pd7 0.750 0.375 0.125
Pd8 0.250 0.625 0.875
Pd9 0.625 0.375 0.750
Pd10 0.875 0.125 0.250
Pd11 0.875 0.750 0.125
Pd12 0.125 0.250 0.875
Ac1 0.679 0.467 0.591
Ac2 0.591 0.967 0.679
Ac3 0.376 0.409 0.088
Ac4 0.591 0.624 0.412
Ac5 0.909 0.821 0.533
Ac6 0.212 0.533 0.624
Ac7 0.788 0.467 0.376
Ac8 0.088 0.179 0.212
Ac9 0.179 0.091 0.967
Ac10 0.788 0.321 0.912
Ac11 0.091 0.179 0.467
Ac12 0.088 0.909 0.376
Ac13 0.876 0.588 0.909
Ac14 0.212 0.679 0.088
Ac15 0.321 0.788 0.412
Ac16 0.467 0.788 0.876
Ac17 0.033 0.624 0.712
Ac18 0.967 0.376 0.288
Ac19 0.412 0.124 0.591
Ac20 0.912 0.821 0.788
Ac21 0.533 0.321 0.909
Ac22 0.821 0.912 0.288
Ac23 0.124 0.712 0.533
Ac24 0.321 0.533 0.409
Ac25 0.033 0.409 0.821
Ac26 0.912 0.091 0.624
Ac27 0.288 0.876 0.967
Ac28 0.124 0.412 0.091
Ac29 0.091 0.912 0.124
Ac30 0.288 0.412 0.821
Ac31 0.179 0.088 0.712
Ac32 0.412 0.288 0.321
Ac33 0.588 0.876 0.409
Ac34 0.821 0.909 0.033
Ac35 0.712 0.588 0.179
Ac36 0.409 0.033 0.321
Ac37 0.533 0.212 0.124
Ac38 0.679 0.212 0.588
Ac39 0.376 0.967 0.788
Ac40 0.712 0.124 0.033
Ac41 0.876 0.288 0.467
Ac42 0.624 0.033 0.212
Ac43 0.624 0.591 0.912
Ac44 0.467 0.679 0.091
Ac45 0.588 0.712 0.679
Ac46 0.909 0.088 0.876
Ac47 0.409 0.376 0.588
Ac48 0.967 0.591 0.179